(1)
Computed, not measured: FeRe2Ru after structural relaxation at the PBE level of DFT.

Lattice parameters (Å, degrees): 5.368 7.579 2.691 90.00 90.00 90.00
Positions (direct):
1 Fe 0.000 0.000 0.000
2 Fe 0.500 0.500 0.000
3 Re 0.250 0.250 0.500
4 Re 0.250 0.750 0.500
5 Re 0.750 0.250 0.500
6 Re 0.750 0.750 0.500
7 Ru 0.000 0.500 0.000
8 Ru 0.500 0.000 0.000

## Properties
**Magnetization**: 0.005 μB/f.u.
**SG**: Cmmm, No. 65
**Energy of formation**: 74.4 meV per atom
**Energy above the most stable polymorph in this dataset**: 0.088 eV per atom
**Volume**: 109.49 Å³ per cell

=====

(2)
Computed, not measured: Rb2UHgTe5 after structural relaxation at the PBE level of DFT.

Lattice parameters (Å, degrees): 11.167 11.167 15.310 90.00 90.00 157.16
Positions (direct):
1 Rb 0.127 0.873 0.500
2 Rb 0.128 0.872 0.132
3 Rb 0.872 0.128 0.632
4 Rb 0.873 0.127 0.000
5 U 0.199 0.801 0.823
6 U 0.801 0.199 0.323
7 Hg 0.442 0.558 0.234
8 Hg 0.558 0.442 0.734
9 Te 0.063 0.937 0.854
10 Te 0.300 0.700 0.454
11 Te 0.302 0.698 0.188
12 Te 0.328 0.672 0.817
13 Te 0.498 0.502 0.075
14 Te 0.502 0.498 0.575
15 Te 0.672 0.328 0.317
16 Te 0.698 0.302 0.688
17 Te 0.700 0.300 0.954
18 Te 0.937 0.063 0.354

## Properties
**Magnetization**: 0.474 μB/f.u.
**SG**: Cmc2_1, No. 36
**E_form (uncorrected)**: -0.603 eV per atom
**Volume**: 740.96 Å³ per cell

=====

(3)
Computed, not measured: BeCu2As after structural relaxation at the PBE level of DFT.

Lattice parameters (Å, degrees): 3.210 3.210 4.905 90.00 90.00 90.00
Positions (direct):
1 Be 0.000 0.000 0.000
2 Cu 0.000 0.000 0.483
3 Cu 0.500 0.500 0.224
4 As 0.500 0.500 0.739

## Properties
**Magnetization**: 0.000 μB/f.u.
**SG**: P4mm, No. 99
**Energy of formation**: 130.5 meV per atom
**Energy above the most stable polymorph in this dataset**: 0.014 eV per atom
**Volume**: 50.53 Å³ per cell

=====

(4)
Computed, not measured: NbSb2TeBr after structural relaxation at the PBE level of DFT.

Lattice parameters (Å, degrees): 5.353 5.353 5.529 90.00 90.00 90.00
Positions (direct):
1 Nb 0.000 0.000 0.000
2 Sb 0.000 0.500 0.500
3 Sb 0.500 0.000 0.500
4 Te 0.500 0.500 0.000
5 Br 0.500 0.500 0.500

## Properties
**Magnetization**: 2.195 μB/f.u.
**SG**: P4/mmm, No. 123
**E_form (uncorrected)**: 1.307 eV per atom
**Energy above the most stable polymorph in this dataset**: 1.200 eV per atom
**Volume**: 158.42 Å³ per cell

=====

(5)
Computed, not measured: LiSeBrN2 after structural relaxation at the PBE level of DFT.

Lattice parameters (Å, degrees): 4.107 4.107 5.604 90.00 90.00 90.00
Positions (direct):
1 Li 0.000 0.000 0.000
2 Se 0.000 0.000 0.500
3 Br 0.500 0.500 0.500
4 N 0.000 0.500 0.000
5 N 0.500 0.000 0.000

## Properties
**Magnetization**: 5.385 μB/f.u.
**SG**: P4/mmm, No. 123
**E_form (uncorrected)**: 1.688 eV per atom
**Energy above the most stable polymorph in this dataset**: 0.000 eV per atom
**Volume**: 94.52 Å³ per cell

=====

(6)
Computed, not measured: ReMo2Os after structural relaxation at the PBE level of DFT.

Lattice parameters (Å, degrees): 3.137 3.137 6.289 90.00 90.00 90.00
Positions (direct):
1 Re 0.000 0.000 0.000
2 Mo 0.000 0.000 0.485
3 Mo 0.500 0.500 0.221
4 Os 0.500 0.500 0.719

## Properties
**Magnetization**: 0.000 μB/f.u.
**SG**: P4mm, No. 99
**Energy of formation**: 251.3 meV per atom
**Volume**: 61.88 Å³ per cell

=====

(7)
Computed, not measured: NpNiH3 after structural relaxation at the PBE level of DFT.

Lattice parameters (Å, degrees): 3.552 3.552 3.552 90.00 90.00 90.00
Positions (direct):
1 Np 0.000 0.000 0.000
2 Ni 0.500 0.500 0.500
3 H 0.000 0.500 0.500
4 H 0.500 0.000 0.500
5 H 0.500 0.500 0.000

## Properties
**Magnetization**: 4.816 μB/f.u.
**SG**: Pm-3m, No. 221
**Raw total energy**: -5.9285 eV/atom
**Volume**: 44.80 Å³ per cell

=====

(8)
Computed, not measured: Y2Os2Se after structural relaxation at the PBE level of DFT.

Lattice parameters (Å, degrees): 7.124 7.124 4.226 90.00 90.00 90.00
Positions (direct):
1 Y 0.178 0.322 0.000
2 Y 0.322 0.822 0.000
3 Y 0.678 0.178 0.000
4 Y 0.822 0.678 0.000
5 Os 0.118 0.618 0.500
6 Os 0.382 0.118 0.500
7 Os 0.618 0.882 0.500
8 Os 0.882 0.382 0.500
9 Se 0.000 0.000 0.500
10 Se 0.500 0.500 0.500

## Properties
**Magnetization**: 0.000 μB/f.u.
**SG**: P4/mbm, No. 127
**E_form (uncorrected)**: -0.087 eV per atom
**Energy above the most stable polymorph in this dataset**: 0.000 eV per atom
**Volume**: 214.46 Å³ per cell

=====

(9)
Computed, not measured: Ac2FeSbPt6 after structural relaxation at the PBE level of DFT.

Lattice parameters (Å, degrees): 6.833 6.833 8.725 128.44 128.44 48.39
Positions (direct):
1 Ac 0.241 0.241 0.280
2 Ac 0.759 0.759 0.720
3 Fe 0.500 0.500 0.000
4 Sb 0.000 0.000 0.500
5 Pt 0.249 0.738 0.237
6 Pt 0.255 0.255 0.896
7 Pt 0.262 0.751 0.763
8 Pt 0.738 0.249 0.237
9 Pt 0.745 0.745 0.104
10 Pt 0.751 0.262 0.763

## Properties
**Magnetization**: 2.877 μB/f.u.
**SG**: C2/m, No. 12
**E_form (uncorrected)**: -0.719 eV per atom
**Volume**: 222.90 Å³ per cell

=====

(10)
Computed, not measured: HfScSnHg after structural relaxation at the PBE level of DFT.

Lattice parameters (Å, degrees): 7.057 7.057 7.057 90.00 90.00 90.00
Positions (direct):
1 Hf 0.000 0.000 0.000
2 Hf 0.000 0.500 0.500
3 Hf 0.500 0.000 0.500
4 Hf 0.500 0.500 0.000
5 Sc 0.000 0.000 0.500
6 Sc 0.000 0.500 0.000
7 Sc 0.500 0.000 0.000
8 Sc 0.500 0.500 0.500
9 Sn 0.250 0.250 0.750
10 Sn 0.250 0.750 0.250
11 Sn 0.750 0.250 0.250
12 Sn 0.750 0.750 0.750
13 Hg 0.250 0.250 0.250
14 Hg 0.250 0.750 0.750
15 Hg 0.750 0.250 0.750
16 Hg 0.750 0.750 0.250

## Properties
**Magnetization**: 0.000 μB/f.u.
**SG**: F-43m, No. 216
**Energy of formation**: -231.0 meV per atom
**Volume**: 351.47 Å³ per cell

=====

(11)
Computed, not measured: Nb12ReW6 after structural relaxation at the PBE level of DFT.

Lattice parameters (Å, degrees): 7.204 7.204 7.204 101.20 101.20 101.20
Positions (direct):
1 Nb 0.166 0.166 0.424
2 Nb 0.166 0.424 0.166
3 Nb 0.174 0.605 0.605
4 Nb 0.395 0.395 0.826
5 Nb 0.395 0.826 0.395
6 Nb 0.424 0.166 0.166
7 Nb 0.576 0.834 0.834
8 Nb 0.605 0.174 0.605
9 Nb 0.605 0.605 0.174
10 Nb 0.826 0.395 0.395
11 Nb 0.834 0.576 0.834
12 Nb 0.834 0.834 0.576
13 Re 0.500 0.500 0.500
14 W 0.000 0.262 0.738
15 W 0.000 0.738 0.262
16 W 0.262 0.000 0.738
17 W 0.262 0.738 0.000
18 W 0.738 0.000 0.262
19 W 0.738 0.262 0.000

## Properties
**Magnetization**: 0.000 μB/f.u.
**SG**: R-3m, No. 166
**Energy of formation**: 323.9 meV per atom
**Volume**: 349.09 Å³ per cell